First-principles (PBE+U) data for a geometry-optimized AcV2HgO7 structure, as listed in Alexandria.

Cell and atoms, written as POSCAR:
```
AcV2HgO7
1.0
-1.8988 1.8988 10.7052
1.8988 -1.8988 10.7052
1.8988 1.8988 -10.7052
Ac V Hg O
1 2 1 7
direct
0.0000 0.0000 0.0000
0.3964 0.3964 0.0000
0.6036 0.6036 0.0000
0.7500 0.2500 0.5000
0.0882 0.5882 0.5000
0.3147 0.3147 0.0000
0.4118 0.9118 0.5000
0.5000 0.5000 0.0000
0.5921 0.0921 0.5000
0.6853 0.6853 0.0000
0.9079 0.4079 0.5000
```

Summary:
- spin magnetization (Bohr magnetons per cell) = 0.6
- E_tot (eV/f.u.) = -75.5
- crystal system = tetragonal